Entry 1:
The following is a PBE-GGA calculation of a geometry-optimized Cu8Br structure, from Alexandria.

Cell: 6.0260 6.0260 6.0260 Å, 95.22 95.22 144.89°
Fractional positions:
1 Cu 0.3211 0.6789 0.0000
2 Cu 0.6789 0.3211 0.0000
3 Cu 0.0000 0.6558 0.6558
4 Cu 0.0000 0.3442 0.3442
5 Cu 0.6789 0.6789 0.3579
6 Cu 0.3211 0.3211 0.6421
7 Cu 0.6558 0.0000 0.6558
8 Cu 0.3442 0.0000 0.3442
9 Br 0.0000 0.0000 0.0000

Output
formation energy (no corrections)	151	kJ/mol of formula units
symmetry	I4/mmm



Entry 2:
The following is a PBE-GGA calculation of a geometry-optimized Ac4PrSm4 structure, from Alexandria.

Cell: 5.3639 8.5117 8.5117 Å, 84.30 71.63 71.63°
Fractional positions:
1 Ac 0.6668 0.6663 0.0001
2 Ac 0.3332 0.3337 0.9999
3 Ac 0.3331 0.0001 0.3337
4 Ac 0.6669 0.9999 0.6663
5 Sm 0.3403 0.6597 0.6597
6 Sm 0.6597 0.3403 0.3403
7 Sm 0.0000 0.3403 0.6597
8 Sm 0.0000 0.6597 0.3403
9 Pr 0.0000 0.0000 0.0000

Output
energy relative to the elements	0.043	eV/atom
symmetry	I4/mmm



Number 1: ρ 8.141 g/cm3. Number 2: ρ 7.829 g/cm3.